Computed, not measured: LiPaNi2 after structural relaxation at the PBE-GGA level of DFT.

abc: 3.434 3.434 8.617
angles: 78.51 78.51 60.00
Sites, in units of the cell vectors:
Pa 0.500 0.500 0.500
Li 0.000 0.000 0.000
Ni 0.900 0.900 0.300
Ni 0.100 0.100 0.700

Computed properties:
The formation energy from the elements is 25.0 kJ per mole of atoms. As for the total DFT energy (no corrections): -21.93 eV/cell.